# CsNaPuSe3 (PBE, relaxed)
data_CsNaPuSe3
_cell_length_a 9.479
_cell_length_b 4.410
_cell_length_c 10.429
_cell_angle_alpha 90.00
_cell_angle_beta 109.24
_cell_angle_gamma 90.00
_space_group_name_H-M_alt 'P 1 21/m 1'
_space_group_IT_number 11
loop_
_space_group_symop_operation_xyz
'x,y,z'
'-x,-y,-z'
'-x,y+1/2,-z'
'x,-y+1/2,z'
loop_
_atom_site_label
_atom_site_fract_x
_atom_site_fract_y
_atom_site_fract_z
Cs1 0.233 0.250 0.263
Na1 0.072 0.250 0.604
Pu1 0.326 0.750 0.857
Se1 0.144 0.250 0.885
Se2 0.240 0.750 0.574
Se3 0.476 0.750 0.142
# E_tot ... -5.70 eV/atom
# Fermi-level density of states ... 1.633 states/eV per atom
# Size of the total moment ... 0.6667 μB per atom
# Raw formation energy ... -1.21 eV/atom

---

# SrCrW2S (PBE, relaxed)
data_SrCrW2S
_cell_length_a 4.892
_cell_length_b 4.892
_cell_length_c 4.461
_cell_angle_alpha 90.00
_cell_angle_beta 90.00
_cell_angle_gamma 90.00
_space_group_name_H-M_alt 'P 4/m m m'
_space_group_IT_number 123
_space_group_name_Hall '-P 4 2'
loop_
_atom_site_label
_atom_site_fract_x
_atom_site_fract_y
_atom_site_fract_z
Sr1 0.000 0.000 0.000
Cr1 0.000 0.000 0.500
W1 0.000 0.500 0.000
S1 0.500 0.500 0.500
# E_tot ... -4.58 eV/atom
# Fermi-level density of states ... 1.914 states/eV per atom
# Size of the total moment ... 0.0008 μB per atom
# Energy above the lowest structure with this stoichiometry ... 2.718 eV/atom
# Raw formation energy ... 3.68 eV/atom